DyMnB4 after structural relaxation, computed with PBE.

Output
formation energy: -3.91 eV/f.u.
density: 7.5 g cm⁻³
symmetry: Pbam (55)

Unit cell a=5.910 b=11.427 c=3.404 alpha=90.00 beta=90.00 gamma=90.00
Atoms (fractional coordinates):
Dy 0.126 0.150 0.000
Dy 0.374 0.650 0.000
Dy 0.626 0.350 0.000
Dy 0.874 0.850 0.000
Mn 0.127 0.416 0.000
Mn 0.373 0.916 0.000
Mn 0.627 0.084 0.000
Mn 0.873 0.584 0.000
B 0.025 0.691 0.500
B 0.112 0.546 0.500
B 0.138 0.968 0.500
B 0.219 0.816 0.500
B 0.281 0.316 0.500
B 0.362 0.468 0.500
B 0.388 0.046 0.500
B 0.475 0.191 0.500
B 0.525 0.809 0.500
B 0.612 0.954 0.500
B 0.638 0.532 0.500
B 0.719 0.684 0.500
B 0.781 0.184 0.500
B 0.862 0.032 0.500
B 0.888 0.454 0.500
B 0.975 0.309 0.500